DFT (PBE-GGA) results for a geometry-optimized Y2NbNi structure.

Values from the calculation:
E	-27.79	eV per cell
theoretical density	6.1	Mg/m³
ΔH_f (0 K)	0.248	eV/atom
total magnetic moment	0.783	μB/atom

Lattice parameters (Å, degrees): 5.0186 5.0186 5.0186 60.00 60.00 60.00
Atoms (fractional coordinates):
Y1 0.2500 0.2500 0.2500
Y2 0.7500 0.7500 0.7500
Ni1 0.0000 0.0000 0.0000
Nb1 0.5000 0.5000 0.5000